! Co2TcHg (PBE-GGA, optimized geometry); values from VASP
&SYSTEM
  ibrav = 0, nat = 4, ntyp = 3
/
ATOMIC_SPECIES
Co 58.93 Co.upf
Hg 200.59 Hg.upf
Tc 98.00 Tc.upf
CELL_PARAMETERS angstrom
4.059 0.000 0.000
0.000 2.718 -0.002
0.000 1.363 5.141
ATOMIC_POSITIONS crystal
Co 0.000 0.193 0.989
Co 0.500 0.072 0.230
Hg 0.000 0.451 0.473
Tc 0.500 0.784 0.807
! **Density of states at the Fermi level**: 1.095 states/eV/atom
! **Energy relative to the elements**: 0.45 eV/atom
! **Energy**: -5.772 eV per atom
! **Space-group type**: Amm2, No. 38